1.
Material: Ce3Th3TcBi2
Method: DFT, PBE
State: relaxed

Results
The calculation puts the size of the total moment at 2.5 μB/f.u. For the density of states at the Fermi level, the calculation gives 19.34 states/eV per cell. The total energy comes out at -6.869 eV/atom. The formation energy from the elements comes out at -0.40 eV/atom.

Unit cell a=3.977 b=8.749 c=8.749 alpha=120.00 beta=90.00 gamma=90.00
Last column: magnetic moment on the atom in μB.
Fractional positions:
Th1 0.500 0.242 0.242  0.05
Bi1 0.500 0.667 0.333  -0.02
Bi2 0.500 0.333 0.667  -0.02
Ce1 0.000 0.597 0.597  0.65
Th2 0.500 0.758 0.000  0.05
Th3 0.500 0.000 0.758  0.05
Ce2 0.000 0.403 0.000  0.65
Ce3 0.000 0.000 0.403  0.65
Tc1 0.000 0.000 0.000  -0.06


2.
Material: CeTh2TcBi
Method: DFT, PBE
State: relaxed

Results
The calculation puts the size of the total moment at 0.0 μB/f.u. For the density of states at the Fermi level, the calculation gives 14.73 states/eV per cell. The total energy comes out at -7.362 eV/atom. The formation energy from the elements comes out at -0.36 eV/atom.

Unit cell a=4.457 b=8.643 c=8.388 alpha=116.98 beta=90.00 gamma=90.00
Fractional positions:
Tc1 0.250 0.870 0.900
Th1 0.250 0.278 0.970
Ce1 0.250 0.588 0.664
Th2 0.750 0.722 0.030
Th3 0.750 0.912 0.677
Tc2 0.750 0.130 0.100
Bi1 0.750 0.303 0.674
Bi2 0.250 0.697 0.326
Th4 0.250 0.088 0.323
Ce2 0.750 0.412 0.336


3.
Material: CeBiTe2
Method: DFT, PBE
State: relaxed

Results
The calculation puts the size of the total moment at 0.9 μB/f.u. For the density of states at the Fermi level, the calculation gives 6.74 states/eV per cell. The total energy comes out at -4.645 eV/atom. Its formation energy (no corrections) is -60 kJ/mol of atoms.

Unit cell a=4.274 b=4.274 c=10.301 alpha=78.03 beta=78.03 gamma=60.00
Last column: magnetic moment on the atom in μB.
Fractional positions:
Te1 0.103 0.103 0.691  -0.03
Bi1 0.000 0.000 0.000  0.02
Ce1 0.500 0.500 0.500  0.80
Te2 0.897 0.897 0.309  -0.03


Question: Which of these has the lowest size of the total moment?
Answer: CeTh2TcBi


Question: The lowest size of the total moment belongs to which entry?
Answer: CeTh2TcBi


Question: Among the records above, which one has the highest size of the total moment?
Answer: Ce3Th3TcBi2


Question: size of the total moment of number 3 (CeBiTe2)?
Answer: 0.9 μB/f.u.